#a
The following is a DFT calculation (PBE) of a relaxed CrSn3N crystal.

Lattice parameters (Å, degrees): 4.6024 4.6024 4.6024 90.00 90.00 90.00
With the nearest neighbours (Å) after each atom.
Fractional positions:
Cr (0.0000, 0.0000, 0.0000)  12 Sn 3.25
Sn (0.0000, 0.5000, 0.5000)  2 N 2.30
Sn (0.5000, 0.0000, 0.5000)  2 N 2.30
Sn (0.5000, 0.5000, 0.0000)  2 N 2.30
N (0.5000, 0.5000, 0.5000)  6 Sn 2.30

#b
The following is a DFT calculation (PBE) of a relaxed CrSn3N crystal.

Lattice parameters (Å, degrees): 5.0131 5.0131 5.0131 90.00 90.00 90.00
With the nearest neighbours (Å) after each atom.
Fractional positions:
Cr (0.0000, 0.0000, 0.0000)  6 Sn 2.51
Sn (0.0000, 0.0000, 0.5000)  2 Cr 2.51
Sn (0.0000, 0.5000, 0.0000)  2 Cr 2.51
Sn (0.5000, 0.0000, 0.0000)  2 Cr 2.51
N (0.5000, 0.5000, 0.5000)  12 Sn 3.54

#a is the most stable structure; the next one sits 51 meV/atom above it.

#a
The following is a DFT calculation (PBE) of a relaxed CrSn2N2 crystal.

Lattice parameters (Å, degrees): 6.1896 6.1896 6.1896 142.61 142.61 53.91
With the nearest neighbours (Å) after each atom.
Fractional positions:
Cr (0.0000, 0.0000, 0.0000)  8 Sn 3.33, 8 N 3.40
Sn (0.3381, 0.3381, 0.0000)  4 N 2.21
Sn (0.6619, 0.6619, 0.0000)  4 N 2.21
N (0.2500, 0.7500, 0.5000)  4 Sn 2.21
N (0.7500, 0.2500, 0.5000)  4 Sn 2.21

#b
The following is a DFT calculation (PBE) of a relaxed CrSn2N2 crystal.

Lattice parameters (Å, degrees): 6.9877 6.9877 3.2348 90.00 90.00 90.00
With the nearest neighbours (Å) after each atom.
Fractional positions:
Cr (0.0000, 0.0000, 0.0000)  4 Sn 2.69, 8 N 2.97
Cr (0.5000, 0.5000, 0.0000)  4 Sn 2.69, 8 N 2.97
Sn (0.1431, 0.3569, 0.0000)  2 N 2.15
Sn (0.3569, 0.8569, 0.0000)  2 N 2.15
Sn (0.6431, 0.1431, 0.0000)  2 N 2.15
Sn (0.8569, 0.6431, 0.0000)  2 N 2.15
N (0.2141, 0.7141, 0.5000)  2 Sn 2.15
N (0.2859, 0.2141, 0.5000)  2 Sn 2.15
N (0.7141, 0.7859, 0.5000)  2 Sn 2.15
N (0.7859, 0.2859, 0.5000)  2 Sn 2.15

#a is the most stable structure; the next one sits 536 meV/atom above it.

#a
The following is a DFT calculation (PBE) of a relaxed CrSnTeN2 crystal.

Lattice parameters (Å, degrees): 4.0956 4.0956 6.3867 90.00 90.00 90.00
With the nearest neighbours (Å) after each atom.
Fractional positions:
Cr (0.0000, 0.0000, 0.0000)  4 Te 2.90
Sn (0.5000, 0.5000, 0.5000)  4 N 2.05
Te (0.5000, 0.5000, 0.0000)  4 Cr 2.90, 2 Sn 3.19
N (0.0000, 0.5000, 0.5000)  2 Sn 2.05
N (0.5000, 0.0000, 0.5000)  2 Sn 2.05

#b
The following is a DFT calculation (PBE) of a relaxed CrSnTeN2 crystal.

Lattice parameters (Å, degrees): 3.9977 3.9977 5.4921 90.00 90.00 90.00
With the nearest neighbours (Å) after each atom.
Fractional positions:
Cr (0.0000, 0.0000, 0.0000)  4 N 2.00
Sn (0.5000, 0.5000, 0.5000)  4 Te 2.83
Te (0.0000, 0.0000, 0.5000)  2 Cr 2.75, 4 Sn 2.83
N (0.0000, 0.5000, 0.0000)  2 Cr 2.00
N (0.5000, 0.0000, 0.0000)  2 Cr 2.00

#b is the most stable structure; the next one sits 639 meV/atom above it.

#a
The following is a DFT calculation (PBE) of a relaxed Zr2CrSnN crystal.

Lattice parameters (Å, degrees): 5.3852 5.3852 4.8720 90.00 90.00 90.00
With the nearest neighbours (Å) after each atom.
Fractional positions:
Zr (0.0000, 0.5000, 0.0000)  2 Sn 2.69
Zr (0.5000, 0.0000, 0.0000)  2 Sn 2.69
Cr (0.0000, 0.0000, 0.5000)  2 Sn 2.44
Sn (0.0000, 0.0000, 0.0000)  2 Cr 2.44, 4 Zr 2.69
N (0.5000, 0.5000, 0.5000)  8 Zr 3.63, 4 Cr 3.81

#b
The following is a DFT calculation (PBE) of a relaxed Zr2CrSnN crystal.

Lattice parameters (Å, degrees): 4.6236 4.6236 3.8344 90.00 90.00 90.00
With the nearest neighbours (Å) after each atom.
Fractional positions:
Zr (0.0000, 0.5000, 0.0000)  2 N 2.31
Zr (0.5000, 0.0000, 0.0000)  2 N 2.31
Cr (0.0000, 0.0000, 0.5000)  2 N 1.92
Sn (0.5000, 0.5000, 0.5000)  8 Zr 3.00, 4 Cr 3.27
N (0.0000, 0.0000, 0.0000)  2 Cr 1.92

#b is the most stable structure; the next one sits 2667 meV/atom above it.

#a
The following is a DFT calculation (PBE) of a relaxed Sr4CrN4 crystal.

Lattice parameters (Å, degrees): 11.8416 5.2585 11.6635 90.00 90.00 90.00
With the nearest neighbours (Å) after each atom.
Fractional positions:
Sr (0.0541, 0.2500, 0.1101)  5 N 2.60-2.71
Sr (0.0903, 0.7500, 0.3146)  4 N 2.60-2.73
Sr (0.1350, 0.7500, 0.6641)  3 N 2.43-2.72
Sr (0.2240, 0.2500, 0.4752)  3 N 2.47-2.68
Sr (0.2760, 0.7500, 0.9752)  3 N 2.47-2.68
Sr (0.3650, 0.2500, 0.1641)  3 N 2.43-2.72
Sr (0.4097, 0.2500, 0.8146)  4 N 2.60-2.73
Sr (0.4459, 0.7500, 0.6101)  5 N 2.60-2.71
Sr (0.5541, 0.2500, 0.3899)  5 N 2.60-2.71
Sr (0.5903, 0.7500, 0.1854)  4 N 2.60-2.73
Sr (0.6350, 0.7500, 0.8359)  3 N 2.43-2.72
Sr (0.7240, 0.2500, 0.0248)  3 N 2.47-2.68
Sr (0.7760, 0.7500, 0.5248)  3 N 2.47-2.68
Sr (0.8650, 0.2500, 0.3359)  3 N 2.43-2.72
Sr (0.9097, 0.2500, 0.6854)  4 N 2.60-2.73
Sr (0.9459, 0.7500, 0.8899)  5 N 2.60-2.71
Cr (0.1361, 0.2500, 0.8525)  3 N 1.71-1.76
Cr (0.3639, 0.7500, 0.3525)  3 N 1.71-1.76
Cr (0.6361, 0.2500, 0.6475)  3 N 1.71-1.76
Cr (0.8639, 0.7500, 0.1475)  3 N 1.71-1.76
N (0.0034, 0.7500, 0.1098)  1 Cr 1.71
N (0.0700, 0.2500, 0.3322)  5 Sr 2.43-2.65
N (0.1731, 0.2500, 0.7086)  1 Cr 1.74
N (0.2337, 0.2500, 0.9660)  1 Cr 1.76
N (0.2663, 0.7500, 0.4660)  1 Cr 1.76
N (0.3269, 0.7500, 0.2086)  1 Cr 1.74
N (0.4300, 0.7500, 0.8322)  5 Sr 2.43-2.65
N (0.4966, 0.2500, 0.6098)  1 Cr 1.71
N (0.5034, 0.7500, 0.3902)  1 Cr 1.71
N (0.5700, 0.2500, 0.1678)  5 Sr 2.43-2.65
N (0.6731, 0.2500, 0.7914)  1 Cr 1.74
N (0.7337, 0.2500, 0.5340)  1 Cr 1.76
N (0.7663, 0.7500, 0.0340)  1 Cr 1.76
N (0.8269, 0.7500, 0.2914)  1 Cr 1.74
N (0.9300, 0.7500, 0.6678)  5 Sr 2.43-2.65
N (0.9966, 0.2500, 0.8902)  1 Cr 1.71

#b
The following is a DFT calculation (PBE) of a relaxed Sr4CrN4 crystal.

Lattice parameters (Å, degrees): 7.4125 7.4125 5.7765 90.00 90.00 90.00
With the nearest neighbours (Å) after each atom.
Fractional positions:
Sr (0.0292, 0.2500, 0.1011)  5 N 2.71-2.74, 1 Cr 2.90
Sr (0.2500, 0.0292, 0.6011)  5 N 2.71-2.74, 1 Cr 2.90
Sr (0.2500, 0.4708, 0.6011)  5 N 2.71-2.74, 1 Cr 2.90
Sr (0.4708, 0.2500, 0.1011)  5 N 2.71-2.74, 1 Cr 2.90
Sr (0.5292, 0.7500, 0.8989)  5 N 2.71-2.74, 1 Cr 2.90
Sr (0.7500, 0.5292, 0.3989)  5 N 2.71-2.74, 1 Cr 2.90
Sr (0.7500, 0.9708, 0.3989)  5 N 2.71-2.74, 1 Cr 2.90
Sr (0.9708, 0.7500, 0.8989)  5 N 2.71-2.74, 1 Cr 2.90
Cr (0.2500, 0.7500, 0.2500)  4 N 1.88
Cr (0.7500, 0.2500, 0.7500)  4 N 1.88
N (0.0441, 0.7500, 0.4398)  1 Cr 1.88
N (0.2500, 0.5441, 0.0602)  1 Cr 1.88
N (0.2500, 0.9559, 0.0602)  1 Cr 1.88
N (0.4559, 0.7500, 0.4398)  1 Cr 1.88
N (0.5441, 0.2500, 0.5602)  1 Cr 1.88
N (0.7500, 0.0441, 0.9398)  1 Cr 1.88
N (0.7500, 0.4559, 0.9398)  1 Cr 1.88
N (0.9559, 0.2500, 0.5602)  1 Cr 1.88

#a is the most stable structure; the next one sits 205 meV/atom above it.

#a
The following is a DFT calculation (PBE) of a relaxed SrCr2N2 crystal.

Lattice parameters (Å, degrees): 3.3143 3.3143 6.5650 90.00 90.00 120.00
With the nearest neighbours (Å) after each atom.
Fractional positions:
Sr (0.0000, 0.0000, 0.0000)  6 N 2.79
Cr (0.3333, 0.6667, 0.3829)  4 N 1.97-2.02
Cr (0.6667, 0.3333, 0.6171)  4 N 1.97-2.02
N (0.3333, 0.6667, 0.6906)  4 Cr 1.97-2.02
N (0.6667, 0.3333, 0.3094)  4 Cr 1.97-2.02

#b
The following is a DFT calculation (PBE) of a relaxed SrCr2N2 crystal.

Lattice parameters (Å, degrees): 4.7438 4.7438 4.7438 131.10 131.10 71.66
With the nearest neighbours (Å) after each atom.
Fractional positions:
Sr (0.0000, 0.0000, 0.0000)  10 Cr 2.73-2.99, 8 N 2.75
Cr (0.3543, 0.3543, 0.0000)  4 N 2.12, 1 Cr 2.24
Cr (0.6457, 0.6457, 0.0000)  4 N 2.12, 1 Cr 2.24
N (0.2500, 0.7500, 0.5000)  4 Cr 2.12
N (0.7500, 0.2500, 0.5000)  4 Cr 2.12

#a is the most stable structure; the next one sits 403 meV/atom above it.